1.
La2FePt | the Alexandria database | PBE-GGA | optimized geometry; calculated formation energy = -0.249 eV/atom
1.0
7.652 -0.018 -0.011
6.571 3.922 -0.011
6.571 1.804 3.483
La Fe Pt
2 1 1
direct
0.000 0.000 0.000
0.500 0.500 0.500
0.750 0.750 0.750
0.250 0.250 0.250



2.
As2OsSeCl | the Alexandria database | PBE-GGA | optimized geometry; formation energy without anion corrections = 0.5435 eV/atom; energy above the most stable polymorph in this dataset = 0.00 kcal/mol of atoms
1.0
4.815 0.000 0.000
0.000 4.815 0.000
0.000 0.000 4.984
Os Se As Cl
1 1 2 1
direct
0.000 0.000 0.000
0.000 0.000 0.500
0.000 0.500 0.000
0.500 0.000 0.000
0.500 0.500 0.500